1.
CrFeTe2: optimized geometry, PBE-GGA.

Cell: 7.0390 7.0390 7.0390 Å, 131.27 131.27 71.39°
Fractional coordinates of all 8 atoms:
Cr (0.0000, 0.0000, 0.0000)
Cr (0.7500, 0.2500, 0.5000)
Fe (0.2500, 0.7500, 0.5000)
Fe (0.5000, 0.5000, 0.0000)
Te (0.1365, 0.6250, 0.0115)
Te (0.3750, 0.3865, 0.5115)
Te (0.6135, 0.1250, 0.9885)
Te (0.8750, 0.8635, 0.4885)

Values from the calculation:
- Final energy: -5.51 eV/atom
- Formation energy from raw total energies: 0.59 eV per atom
- E above lowest polymorph: 2.11 eV/f.u.
- SG: No. 122


2.
CrFeTe2: optimized geometry, PBE-GGA.

Cell: 6.7739 6.7739 6.7739 Å, 34.12 34.12 34.12°
Fractional coordinates of all 4 atoms:
Cr (0.0000, 0.0000, 0.0000)
Fe (0.5000, 0.5000, 0.5000)
Te (0.2480, 0.2480, 0.2480)
Te (0.7520, 0.7520, 0.7520)

Values from the calculation:
- Final energy: -5.93 eV/atom
- Formation energy from raw total energies: 0.16 eV per atom
- E above lowest polymorph: 0.42 eV/f.u.
- SG: No. 166


3.
CrFe2Te2: optimized geometry, PBE-GGA.

Cell: 7.0266 7.0266 3.4655 Å, 90.00 90.00 90.00°
Fractional coordinates of all 10 atoms:
Cr (0.0000, 0.0000, 0.0000)
Cr (0.5000, 0.5000, 0.0000)
Fe (0.1252, 0.3748, 0.5000)
Fe (0.3748, 0.8748, 0.5000)
Fe (0.6252, 0.1252, 0.5000)
Fe (0.8748, 0.6252, 0.5000)
Te (0.1709, 0.6709, 0.0000)
Te (0.3291, 0.1709, 0.0000)
Te (0.6709, 0.8291, 0.0000)
Te (0.8291, 0.3291, 0.0000)

Values from the calculation:
- Final energy: -5.96 eV/atom
- Formation energy from raw total energies: 0.61 eV per atom
- E above lowest polymorph: 0.00 eV/f.u.
- SG: No. 127


formation energy from raw total energies of number 3 (CrFe2Te2)?
0.61 eV per atom